1.
# Ag2HgMoF8 GGA+U optimized geometry
# size of the total moment	1.90	μB/f.u.
# uncorrected energy	-4.10	eV per atom
data_Ag2HgMoF8
_cell_length_a 5.0453
_cell_length_b 5.4595
_cell_length_c 7.5689
_cell_angle_alpha 89.55
_cell_angle_beta 89.44
_cell_angle_gamma 86.99
_symmetry_space_group_name_H-M 'P 1'
_symmetry_Int_Tables_number 1
loop_
_symmetry_equiv_pos_as_xyz
'x,y,z'
loop_
_atom_site_label
_atom_site_type_symbol
_atom_site_fract_x
_atom_site_fract_y
_atom_site_fract_z
Ag1 Ag 0.0036 0.0087 0.2507
Ag2 Ag 0.9964 0.9913 0.7493
Hg1 Hg 0.5000 0.5000 0.0000
Mo1 Mo 0.5000 0.5000 0.5000
F1 F 0.1951 0.7730 0.0041
F2 F 0.1992 0.7485 0.4996
F3 F 0.3276 0.3118 0.6910
F4 F 0.3392 0.3128 0.2957
F5 F 0.6608 0.6872 0.7043
F6 F 0.6724 0.6882 0.3090
F7 F 0.8008 0.2515 0.5004
F8 F 0.8049 0.2270 0.9959

2.
# AgHgMoF6 GGA+U optimized geometry
# size of the total moment	2.91	μB/f.u.
# uncorrected energy	-4.20	eV per atom
data_AgHgMoF6
_cell_length_a 6.0183
_cell_length_b 6.0183
_cell_length_c 9.1396
_cell_angle_alpha 90.00
_cell_angle_beta 90.00
_cell_angle_gamma 120.00
_symmetry_space_group_name_H-M 'P 1'
_symmetry_Int_Tables_number 1
loop_
_symmetry_equiv_pos_as_xyz
'x,y,z'
loop_
_atom_site_label
_atom_site_type_symbol
_atom_site_fract_x
_atom_site_fract_y
_atom_site_fract_z
Ag1 Ag 0.3333 0.6667 0.2500
Ag2 Ag 0.6667 0.3333 0.7500
Hg1 Hg 0.0000 0.0000 0.0000
Hg2 Hg 0.0000 0.0000 0.5000
Mo1 Mo 0.3333 0.6667 0.7500
Mo2 Mo 0.6667 0.3333 0.2500
F1 F 0.0445 0.3645 0.6260
F2 F 0.0445 0.6800 0.8740
F3 F 0.3200 0.3645 0.8740
F4 F 0.3200 0.9555 0.6260
F5 F 0.3645 0.0445 0.1260
F6 F 0.3645 0.3200 0.3740
F7 F 0.6355 0.6800 0.6260
F8 F 0.6355 0.9555 0.8740
F9 F 0.6800 0.0445 0.3740
F10 F 0.6800 0.6355 0.1260
F11 F 0.9555 0.3200 0.1260
F12 F 0.9555 0.6355 0.3740

Among the records above, which one has the lowest uncorrected energy?
AgHgMoF6